CaSiRhI2 | PBE | optimized geometry

a = 5.743 Å, b = 5.743 Å, c = 4.501 Å
α = 90.00°, β = 90.00°, γ = 90.00°
Positions (direct):
1 Ca 0.000 0.000 0.000
2 Si 0.500 0.500 0.500
3 Rh 0.500 0.500 0.000
4 I 0.000 0.500 0.500
5 I 0.500 0.000 0.500

Its uncorrected formation energy is -0.030 eV/atom. As for the symmetry: P4/mmm. The value obtained for the density is 4.8 g/cm3. The calculation puts the volume at 29.70 Å³/atom.